Record 1
The following is a DFT calculation (PBE) of a relaxed TbSm3Sc2 crystal.

N(E_F)	21.2	states/eV/cell
space-group type	Cmcm, No. 63
DFT formation energy	276	meV per atom
spin magnetization	0.000	μB/atom
relative energy among the computed polymorphs	223	meV per atom

Structure (POSCAR):
```
TbSm3Sc2
1.0
7.213 -4.884 0.000
7.213 4.884 0.000
0.000 0.000 5.487
Tb Sm Sc
2 6 4
Cartesian
7.213 2.689 4.115
7.213 -2.689 1.372
3.717 1.294 1.372
3.717 -1.294 4.115
7.213 0.918 1.372
7.213 -0.918 4.115
10.709 1.294 1.372
10.709 -1.294 4.115
1.505 0.900 4.115
1.505 -0.900 1.372
12.921 0.900 4.115
12.921 -0.900 1.372
```

Record 2
The following is a DFT calculation (PBE) of a relaxed GaHgTeI2 crystal.

N(E_F)	3.5	states/eV/cell
space-group type	P4/mmm, No. 123
uncorrected formation energy	0.162	eV/atom
spin magnetization	0.000	μB/atom
relative energy among the computed polymorphs	109	meV per atom

Structure (POSCAR):
```
GaHgTeI2
1.0
5.985 0.000 0.000
0.000 5.985 0.000
0.000 0.000 5.653
Ga Hg Te I
1 1 1 2
Cartesian
0.000 0.000 0.000
2.993 2.993 2.826
2.993 2.993 0.000
0.000 2.993 2.826
2.993 0.000 2.826
```

Record 3
The following is a DFT calculation (PBE) of a relaxed Np2Al4GeAu3 crystal.

N(E_F)	22.0	states/eV/cell
space-group type	P-4m2, No. 115
DFT formation energy	-280	meV per atom
spin magnetization	0.841	μB/atom

Structure (POSCAR):
```
Np2Al4GeAu3
1.0
4.365 0.000 0.000
0.000 4.365 0.000
0.000 0.000 10.491
Np Al Ge Au
2 4 1 3
Cartesian
0.000 2.183 2.556
2.183 0.000 7.935
0.000 0.000 5.245
0.000 2.183 9.077
2.183 0.000 1.413
2.183 2.183 5.245
2.183 2.183 0.000
0.000 0.000 0.000
0.000 2.183 6.620
2.183 0.000 3.871
```

Record 4
The following is a DFT calculation (PBE) of a relaxed Th2ZnSi2Ru5 crystal.

N(E_F)	10.9	states/eV/cell
space-group type	P4/mbm, No. 127
uncorrected formation energy	-0.548	eV/atom
spin magnetization	0.000	μB/atom

Structure (POSCAR):
```
Th2ZnSi2Ru5
1.0
10.045 0.000 0.000
0.000 10.045 0.000
0.000 0.000 3.394
Th Zn Si Ru
4 2 4 10
Cartesian
1.767 3.255 0.000
3.255 8.278 0.000
6.790 1.767 0.000
8.278 6.790 0.000
0.000 0.000 0.000
5.023 5.023 0.000
1.239 6.262 0.000
3.783 1.239 0.000
6.262 8.806 0.000
8.806 3.783 0.000
0.000 5.023 1.697
0.682 7.898 1.697
2.147 0.682 1.697
2.875 5.704 1.697
4.341 2.875 1.697
5.023 0.000 1.697
5.704 7.170 1.697
7.170 4.341 1.697
7.898 9.363 1.697
9.363 2.147 1.697
```

Record 5
The following is a DFT calculation (PBE) of a relaxed HfCo crystal.

N(E_F)	10.2	states/eV/cell
space-group type	I-43m, No. 217
DFT formation energy	801	meV per atom
spin magnetization	0.000	μB/atom

Structure (POSCAR):
```
HfCo
1.0
-3.679 3.679 3.679
3.679 -3.679 3.679
3.679 3.679 -3.679
Hf Co
4 4
Cartesian
1.460 1.460 -1.460
1.460 -1.460 1.460
-1.460 1.460 1.460
2.219 2.219 2.219
2.802 2.802 -2.802
2.802 -2.802 2.802
0.877 0.877 0.877
-2.802 2.802 2.802
```

Record 6
The following is a DFT calculation (PBE) of a relaxed Na2TiSn crystal.

N(E_F)	2.9	states/eV/cell
space-group type	I-42d, No. 122
DFT formation energy	456	meV per atom
spin magnetization	0.516	μB/atom

Structure (POSCAR):
```
Na2TiSn
1.0
-4.327 4.327 2.861
4.327 -4.327 2.861
4.327 4.327 -2.861
Na Ti Sn
4 2 2
Cartesian
6.490 2.073 -0.715
2.073 2.163 0.715
-2.163 2.254 2.145
2.254 2.163 3.576
4.327 0.000 1.430
0.000 0.000 2.861
0.000 0.000 0.000
0.000 4.327 1.430
```

Record 7
The following is a DFT calculation (PBE) of a relaxed Hf2TaHg2 crystal.

N(E_F)	7.3	states/eV/cell
space-group type	P4/mbm, No. 127
DFT formation energy	471	meV per atom
spin magnetization	0.000	μB/atom
relative energy among the computed polymorphs	440	meV per atom

Structure (POSCAR):
```
Hf2TaHg2
1.0
8.213 0.000 0.000
0.000 8.213 0.000
0.000 0.000 3.206
Hf Ta Hg
4 2 4
Cartesian
1.379 2.727 0.000
2.727 6.833 0.000
5.485 1.379 0.000
6.833 5.485 0.000
0.000 0.000 0.000
4.106 4.106 0.000
1.090 5.196 1.603
3.016 1.090 1.603
5.196 7.122 1.603
7.122 3.016 1.603
```

Record 8
The following is a DFT calculation (PBE) of a relaxed TiFeSeN2 crystal.

N(E_F)	6.3	states/eV/cell
space-group type	P4/mmm, No. 123
uncorrected formation energy	0.500	eV/atom
spin magnetization	0.000	μB/atom
relative energy among the computed polymorphs	36	meV per atom

Structure (POSCAR):
```
TiFeSeN2
1.0
3.643 0.000 0.000
0.000 3.643 0.000
0.000 0.000 4.873
Ti Fe Se N
1 1 1 2
Cartesian
0.000 0.000 0.000
1.822 1.822 2.436
1.822 1.822 0.000
0.000 1.822 2.436
1.822 0.000 2.436
```